VASP calculation (PBE-GGA) on a relaxed structure of CsCo2Au.

a b c (Å): 6.763 6.763 6.763
angles (deg): 90.00 90.00 90.00
Atoms (fractional coordinates):
Cs 0.000 0.000 0.000
Cs 0.000 0.500 0.500
Cs 0.500 0.000 0.500
Cs 0.500 0.500 0.000
Co 0.250 0.250 0.250
Co 0.250 0.250 0.750
Co 0.250 0.750 0.250
Co 0.250 0.750 0.750
Co 0.750 0.250 0.250
Co 0.750 0.250 0.750
Co 0.750 0.750 0.250
Co 0.750 0.750 0.750
Au 0.000 0.000 0.500
Au 0.000 0.500 0.000
Au 0.500 0.000 0.000
Au 0.500 0.500 0.500

Summary:
- space group = Fm-3m (225)
- volume (Å³ per atom) = 19.3
- DOS(E_F) (states/eV/atom) = 2.4654
- energy (eV per atom) = -3.254


VASP calculation (PBE-GGA) on a relaxed structure of HoFeC.

a b c (Å): 10.020 3.285 5.604
angles (deg): 90.00 108.88 90.00
Atoms (fractional coordinates):
Ho 0.103 0.000 0.321
Ho 0.397 0.500 0.679
Ho 0.603 0.500 0.321
Ho 0.897 0.000 0.679
Fe 0.169 0.500 0.871
Fe 0.331 0.000 0.129
Fe 0.669 0.000 0.871
Fe 0.831 0.500 0.129
C 0.230 0.000 0.770
C 0.270 0.500 0.230
C 0.730 0.500 0.770
C 0.770 0.000 0.230

Summary:
- space group = C2/m (12)
- volume (Å³ per atom) = 14.5
- DOS(E_F) (states/eV/atom) = 0.8963
- energy (eV per atom) = -7.607


VASP calculation (PBE-GGA) on a relaxed structure of ScNClF2.

a b c (Å): 4.780 4.780 3.326
angles (deg): 90.00 90.00 90.00
Atoms (fractional coordinates):
Sc 0.000 0.000 0.000
N 0.500 0.500 0.000
Cl 0.500 0.500 0.500
F 0.000 0.500 0.500
F 0.500 0.000 0.500

Summary:
- space group = P4/mmm (123)
- volume (Å³ per atom) = 15.2
- DOS(E_F) (states/eV/atom) = 0.6153
- formation energy from raw total energies (eV per atom) = -0.122


VASP calculation (PBE-GGA) on a relaxed structure of BaZr5.

a b c (Å): 4.539 14.176 4.785
angles (deg): 90.00 90.00 90.00
Atoms (fractional coordinates):
Ba 0.000 0.000 0.000
Ba 0.500 0.500 0.000
Zr 0.000 0.174 0.500
Zr 0.000 0.325 0.000
Zr 0.000 0.500 0.500
Zr 0.000 0.675 0.000
Zr 0.000 0.826 0.500
Zr 0.500 0.000 0.500
Zr 0.500 0.175 0.000
Zr 0.500 0.326 0.500
Zr 0.500 0.674 0.500
Zr 0.500 0.825 0.000

Summary:
- space group = Cmmm (65)
- volume (Å³ per atom) = 25.7
- DOS(E_F) (states/eV/atom) = 1.3322
- energy (eV per atom) = -7.046


VASP calculation (PBE-GGA) on a relaxed structure of PmZrMnN3.

a b c (Å): 7.180 3.255 7.191
angles (deg): 90.00 102.87 90.00
Atoms (fractional coordinates):
Pm 0.187 0.250 0.205
Pm 0.813 0.750 0.795
Zr 0.351 0.750 0.840
Zr 0.649 0.250 0.160
Mn 0.083 0.250 0.594
Mn 0.917 0.750 0.406
N 0.123 0.250 0.857
N 0.185 0.750 0.496
N 0.433 0.750 0.154
N 0.567 0.250 0.846
N 0.815 0.250 0.504
N 0.877 0.750 0.143

Summary:
- space group = P2_1/m (11)
- volume (Å³ per atom) = 13.7
- DOS(E_F) (states/eV/atom) = 0.5396
- formation energy from raw total energies (eV per atom) = -1.084


VASP calculation (PBE-GGA) on a relaxed structure of MgAl2GeO6.

a b c (Å): 6.795 6.795 5.602
angles (deg): 106.07 106.07 98.64
Atoms (fractional coordinates):
Mg 0.100 0.900 0.750
Mg 0.900 0.100 0.250
Al 0.289 0.445 0.823
Al 0.445 0.289 0.323
Al 0.555 0.711 0.677
Al 0.711 0.555 0.177
Ge 0.187 0.813 0.250
Ge 0.813 0.187 0.750
O 0.053 0.205 0.671
O 0.146 0.643 0.929
O 0.205 0.053 0.171
O 0.323 0.443 0.520
O 0.357 0.854 0.571
O 0.443 0.323 0.020
O 0.557 0.677 0.980
O 0.643 0.146 0.429
O 0.677 0.557 0.480
O 0.795 0.947 0.829
O 0.854 0.357 0.071
O 0.947 0.795 0.329

Summary:
- space group = C2/c (15)
- volume (Å³ per atom) = 11.6
- DOS(E_F) (states/eV/atom) = 0.0000
- formation energy from raw total energies (eV per atom) = -2.488


VASP calculation (PBE-GGA) on a relaxed structure of Th8Te4Os3N.

a b c (Å): 8.279 8.279 9.011
angles (deg): 117.38 117.38 59.75
Atoms (fractional coordinates):
Th 0.227 0.742 0.695
Th 0.231 0.231 0.698
Th 0.258 0.773 0.305
Th 0.266 0.266 0.300
Th 0.734 0.734 0.700
Th 0.742 0.227 0.695
Th 0.769 0.769 0.302
Th 0.773 0.258 0.305
Te 0.000 0.000 0.000
Te 0.000 0.500 0.000
Te 0.500 0.000 0.000
Te 0.500 0.500 0.000
Os 0.000 0.500 0.500
Os 0.500 0.000 0.500
Os 0.500 0.500 0.500
N 0.000 0.000 0.500

Summary:
- space group = C2/m (12)
- volume (Å³ per atom) = 28.3
- DOS(E_F) (states/eV/atom) = 0.6832
- formation energy from raw total energies (eV per atom) = -0.879


VASP calculation (PBE-GGA) on a relaxed structure of AcDyAlSn.

a b c (Å): 7.758 7.758 7.758
angles (deg): 90.00 90.00 90.00
Atoms (fractional coordinates):
Ac 0.000 0.000 0.000
Ac 0.000 0.500 0.500
Ac 0.500 0.000 0.500
Ac 0.500 0.500 0.000
Dy 0.000 0.000 0.500
Dy 0.000 0.500 0.000
Dy 0.500 0.000 0.000
Dy 0.500 0.500 0.500
Al 0.250 0.250 0.750
Al 0.250 0.750 0.250
Al 0.750 0.250 0.250
Al 0.750 0.750 0.750
Sn 0.250 0.250 0.250
Sn 0.250 0.750 0.750
Sn 0.750 0.250 0.750
Sn 0.750 0.750 0.250

Summary:
- space group = F-43m (216)
- volume (Å³ per atom) = 29.2
- DOS(E_F) (states/eV/atom) = 0.8491
- energy (eV per atom) = -4.491